Entry 1:
The following is a GGA-PBE calculation of a geometry-optimized CsTcI2O structure, from the Alexandria database.

Calculated values
**Distance to the lowest polymorph of the same formula**: 0 meV per atom

Cell lengths 6.054, 6.054, 3.853 Å; angles 90.00, 90.00, 90.00 degrees
Last column: magnetic moment on the atom in μB.
Element x y z (fractional)
I 0.500 0.000 0.000  0.01
I 0.000 0.500 0.000  0.01
O 0.000 0.000 0.500  -0.01
Cs 0.500 0.500 0.500  0.00
Tc 0.000 0.000 0.000  0.18

Entry 2:
The following is a GGA-PBE calculation of a geometry-optimized Pr6GeTe3Pb2 structure, from the Alexandria database.

Cell lengths 4.518, 9.136, 10.169 Å; angles 103.21, 102.83, 90.00 degrees
Element x y z (fractional)
Pr 0.341 0.919 0.683
Pr 0.000 0.230 0.001
Pr 0.667 0.581 0.334
Pr 0.659 0.081 0.317
Pr 0.000 0.770 0.999
Pr 0.333 0.419 0.666
Te 0.168 0.835 0.337
Te 0.500 0.500 0.000
Te 0.832 0.165 0.663
Ge 0.500 0.000 0.000
Pb 0.166 0.333 0.333
Pb 0.834 0.667 0.667

V list, top to bottom, in A^3/atom: 28.24 33.15
Formation energy without anion corrections list, top to bottom, in meV/atom: -664 -1091